Record 1
DFT (PBE-GGA) results for a relaxed Cs2MgMoI6 crystal.

Computed properties:
- formation energy (no corrections) (eV/atom) = -0.804
- E (eV/atom) = -3.147

```
Cs2MgMoI6
1.0
-0.259 -0.804 8.315
8.341 -0.484 0.213
4.367 5.233 4.842
I Cs Mo Mg
6 2 1 1
direct
0.247 0.247 0.000
0.753 0.247 0.000
0.753 0.753 0.494
0.247 0.247 0.506
0.753 0.753 0.000
0.247 0.753 0.000
0.750 0.250 0.500
0.250 0.750 0.500
0.000 0.000 0.000
0.500 0.500 0.000
```

=====

Record 2
DFT (PBE-GGA) results for a relaxed CsMgIN2 crystal.

Computed properties:
- formation energy (no corrections) (eV/atom) = 1.814
- E (eV/atom) = -2.316
- polymorph energy (0 for the lowest one) (eV per atom) = 1.0918

```
CsMgIN2
1.0
4.563 0.000 0.000
0.000 4.563 0.000
0.000 0.000 7.173
N I Mg Cs
2 1 1 1
direct
0.000 0.500 0.000
0.500 0.000 0.000
0.000 0.000 0.500
0.500 0.500 0.500
0.000 0.000 0.000
```

=====

Record 3
DFT (PBE-GGA) results for a relaxed CsMgIN2 crystal.

Computed properties:
- formation energy (no corrections) (eV/atom) = 0.722
- E (eV/atom) = -3.408
- polymorph energy (0 for the lowest one) (eV per atom) = 0.0000

```
CsMgIN2
1.0
-2.431 -3.294 2.633
1.203 -3.455 -3.211
4.923 -1.161 3.093
Mg Cs N I
1 1 2 1
direct
0.000 0.000 0.000
0.500 0.500 0.500
0.500 0.000 0.000
0.000 0.500 0.000
0.000 0.000 0.500
```

=====

Record 4
DFT (PBE-GGA) results for a relaxed CsNaMgI4 crystal.

Computed properties:
- formation energy (no corrections) (eV/atom) = -1.240
- E (eV/atom) = -2.664

```
CsNaMgI4
1.0
-4.122 3.423 5.497
4.239 -4.400 5.918
8.460 5.995 -1.603
I Cs Mg Na
8 2 2 2
direct
0.977 0.996 0.287
0.529 0.250 0.439
0.023 0.004 0.713
0.648 0.250 0.899
0.977 0.504 0.287
0.352 0.750 0.101
0.023 0.496 0.713
0.471 0.750 0.561
0.236 0.250 0.061
0.764 0.750 0.939
0.223 0.750 0.317
0.777 0.250 0.683
0.829 0.750 0.476
0.171 0.250 0.524
```

=====

Record 5
DFT (PBE-GGA) results for a relaxed Cs3NaMg2I9 crystal.

Computed properties:
- formation energy (no corrections) (eV/atom) = -1.153
- E (eV/atom) = -2.554

```
Cs3NaMg2I9
1.0
-8.293 -0.570 -1.677
5.661 -3.116 -5.491
-0.353 -9.280 4.902
I Na Mg Cs
9 1 2 3
direct
0.828 0.172 0.679
0.828 0.657 0.679
0.343 0.172 0.679
0.172 0.343 0.321
0.000 0.500 0.000
0.657 0.828 0.321
0.500 0.000 0.000
0.172 0.828 0.321
0.500 0.500 0.000
0.000 0.000 0.500
0.667 0.333 0.831
0.333 0.667 0.169
0.000 0.000 0.000
0.667 0.333 0.337
0.333 0.667 0.663
```

=====

Record 6
DFT (PBE-GGA) results for a relaxed Cs2NaMgI6 crystal.

Computed properties:
- formation energy (no corrections) (eV/atom) = -1.119
- E (eV/atom) = -2.511

```
Cs2NaMgI6
1.0
8.575 0.000 0.000
0.000 8.575 0.000
4.287 4.287 6.065
I Cs Mg Na
6 2 1 1
direct
0.760 0.760 0.000
0.760 0.760 0.480
0.240 0.240 0.000
0.240 0.760 0.000
0.240 0.240 0.520
0.760 0.240 0.000
0.250 0.750 0.500
0.750 0.250 0.500
0.000 0.000 0.000
0.500 0.500 0.000
```

=====

Record 7
DFT (PBE-GGA) results for a relaxed CsNa2MgI6 crystal.

Computed properties:
- formation energy (no corrections) (eV/atom) = -1.046
- E (eV/atom) = -2.485

```
CsNa2MgI6
1.0
9.537 0.241 0.250
3.367 11.099 -1.591
3.367 -2.002 11.032
Mg I Na Cs
2 12 4 2
direct
0.750 0.838 0.162
0.250 0.162 0.838
0.785 0.069 0.207
0.576 0.552 0.664
0.533 0.136 0.659
0.076 0.664 0.552
0.967 0.341 0.864
0.467 0.864 0.341
0.924 0.336 0.448
0.285 0.207 0.069
0.715 0.793 0.931
0.424 0.448 0.336
0.033 0.659 0.136
0.215 0.931 0.793
0.402 0.716 0.524
0.598 0.284 0.476
0.098 0.476 0.284
0.902 0.524 0.716
0.750 0.110 0.890
0.250 0.890 0.110
```

=====

Record 8
DFT (PBE-GGA) results for a relaxed CsNdMgI6 crystal.

Computed properties:
- formation energy (no corrections) (eV/atom) = -1.322
- E (eV/atom) = -3.157

```
CsNdMgI6
1.0
-0.249 -7.410 2.723
4.751 -2.197 5.915
-6.098 2.320 5.759
I Nd Mg Cs
6 1 1 1
direct
0.016 0.619 0.702
0.016 0.364 0.298
0.364 0.619 0.298
0.364 0.017 0.702
0.619 0.016 0.298
0.619 0.364 0.702
0.667 0.667 0.500
0.333 0.333 0.500
0.000 0.000 0.000
```

=====

| no. | calculated volume (Å³ per atom) |
| --- | --- |
| 1 | 41.32 |
| 2 | 29.87 |
| 3 | 28.09 |
| 4 | 46.87 |
| 5 | 43.60 |
| 6 | 44.60 |
| 7 | 55.80 |
| 8 | 52.23 |